# 1
# Rb6SCl2O | the Alexandria database | GGA-PBE | relaxed
data_Rb6SCl2O
_cell_length_a 7.9734
_cell_length_b 11.7347
_cell_length_c 8.9588
_cell_angle_alpha 90.00
_cell_angle_beta 90.00
_cell_angle_gamma 90.00
_space_group_name_H-M_alt 'P 1'
_space_group_IT_number 1
_space_group_name_Hall 'P 1'
loop_
_atom_site_label
_atom_site_fract_x
_atom_site_fract_y
_atom_site_fract_z
Rb1 0.0083 0.2500 0.0275
Rb2 0.0219 0.7500 0.3913
Rb3 0.2500 0.0129 0.7987
Rb4 0.2500 0.4871 0.7987
Rb5 0.4781 0.7500 0.3913
Rb6 0.4917 0.2500 0.0275
Rb7 0.5083 0.7500 0.9725
Rb8 0.5219 0.2500 0.6087
Rb9 0.7500 0.5129 0.2013
Rb10 0.7500 0.9871 0.2013
Rb11 0.9781 0.2500 0.6087
Rb12 0.9917 0.7500 0.9725
S1 0.2500 0.7500 0.6884
S2 0.7500 0.2500 0.3116
Cl1 0.2500 0.5603 0.1580
Cl2 0.2500 0.9397 0.1580
Cl3 0.7500 0.0603 0.8420
Cl4 0.7500 0.4397 0.8420
O1 0.2500 0.2500 0.7960
O2 0.7500 0.7500 0.2040
# Raw formation energy in eV per atom: -1.280
# Raw total energy in eV/atom: -3.14
# M_tot in μB/f.u.: 0.10
# Symmetry: Pmmn
# Volume in Å³ per cell: 838.2

# 2
# Rb2SbCl3O | the Alexandria database | GGA-PBE | relaxed
data_Rb2SbCl3O
_cell_length_a 9.3861
_cell_length_b 9.3861
_cell_length_c 9.3861
_cell_angle_alpha 153.87
_cell_angle_beta 145.41
_cell_angle_gamma 43.87
_space_group_name_H-M_alt 'P 1'
_space_group_IT_number 1
_space_group_name_Hall 'P 1'
loop_
_atom_site_label
_atom_site_fract_x
_atom_site_fract_y
_atom_site_fract_z
Rb1 0.1459 0.1459 0.0000
Rb2 0.8541 0.8541 0.0000
Sb1 0.5000 0.5000 0.0000
Cl1 0.0000 0.5000 0.5000
Cl2 0.3366 0.3366 0.0000
Cl3 0.6634 0.6634 0.0000
O1 0.5000 0.0000 0.5000
# N(E_F) in states/eV/f.u.: 0.33
# Raw formation energy in eV per atom: -1.448
# Raw total energy in eV/atom: -3.81
# M_tot in μB/f.u.: 0.00
# Symmetry: Immm
# Volume in Å³ per cell: 206.2

What did the first record say?
# Rb6SCl2O | the Alexandria database | GGA-PBE | relaxed
data_Rb6SCl2O
_cell_length_a 7.9734
_cell_length_b 11.7347
_cell_length_c 8.9588
_cell_angle_alpha 90.00
_cell_angle_beta 90.00
_cell_angle_gamma 90.00
_space_group_name_H-M_alt 'P 1'
_space_group_IT_number 1
_space_group_name_Hall 'P 1'
loop_
_atom_site_label
_atom_site_fract_x
_atom_site_fract_y
_atom_site_fract_z
Rb1 0.0083 0.2500 0.0275
Rb2 0.0219 0.7500 0.3913
Rb3 0.2500 0.0129 0.7987
Rb4 0.2500 0.4871 0.7987
Rb5 0.4781 0.7500 0.3913
Rb6 0.4917 0.2500 0.0275
Rb7 0.5083 0.7500 0.9725
Rb8 0.5219 0.2500 0.6087
Rb9 0.7500 0.5129 0.2013
Rb10 0.7500 0.9871 0.2013
Rb11 0.9781 0.2500 0.6087
Rb12 0.9917 0.7500 0.9725
S1 0.2500 0.7500 0.6884
S2 0.7500 0.2500 0.3116
Cl1 0.2500 0.5603 0.1580
Cl2 0.2500 0.9397 0.1580
Cl3 0.7500 0.0603 0.8420
Cl4 0.7500 0.4397 0.8420
O1 0.2500 0.2500 0.7960
O2 0.7500 0.7500 0.2040
# Raw formation energy in eV per atom: -1.280
# Raw total energy in eV/atom: -3.14
# M_tot in μB/f.u.: 0.10
# Symmetry: Pmmn
# Volume in Å³ per cell: 838.2

The lowest volume belongs to which entry?
Rb2SbCl3O

Among the records above, which one has the lowest raw formation energy?
Rb2SbCl3O